No. 1
The following is a GGA-PBE calculation of crystalline CuGe2Rh2 at its relaxed geometry, from Alexandria via LeMat-Bulk.

Unit cell a=3.7488 b=3.7488 c=11.5384 alpha=90.00 beta=90.00 gamma=90.00
Fractional positions:
1 Cu 0.0000 0.0000 0.0000
2 Cu 0.5000 0.5000 0.5000
3 Ge 0.0000 0.5000 0.2500
4 Ge 0.0000 0.5000 0.7500
5 Ge 0.5000 0.0000 0.2500
6 Ge 0.5000 0.0000 0.7500
7 Rh 0.0000 0.0000 0.3882
8 Rh 0.0000 0.0000 0.6118
9 Rh 0.5000 0.5000 0.1118
10 Rh 0.5000 0.5000 0.8882

The calculated formation energy is -0.074 eV/atom. Its space-group type is No. 139. As for the energy above the most stable polymorph in this dataset: 100.1 kJ/mol of formula units.

***

No. 2
The following is a GGA-PBE calculation of crystalline MgNiIrW at its relaxed geometry, from Alexandria via LeMat-Bulk.

Unit cell a=6.1551 b=6.1551 c=6.1551 alpha=90.00 beta=90.00 gamma=90.00
Fractional positions:
1 Mg 0.0000 0.0000 0.0000
2 Mg 0.0000 0.5000 0.5000
3 Mg 0.5000 0.0000 0.5000
4 Mg 0.5000 0.5000 0.0000
5 Ni 0.2500 0.2500 0.7500
6 Ni 0.2500 0.7500 0.2500
7 Ni 0.7500 0.2500 0.2500
8 Ni 0.7500 0.7500 0.7500
9 Ir 0.2500 0.2500 0.2500
10 Ir 0.2500 0.7500 0.7500
11 Ir 0.7500 0.2500 0.7500
12 Ir 0.7500 0.7500 0.2500
13 W 0.0000 0.0000 0.5000
14 W 0.0000 0.5000 0.0000
15 W 0.5000 0.0000 0.0000
16 W 0.5000 0.5000 0.5000

The calculated formation energy is -0.075 eV/atom. Its space-group type is No. 216.

***

No. 3
The following is a GGA-PBE calculation of crystalline V2SbTe at its relaxed geometry, from Alexandria via LeMat-Bulk.

Unit cell a=3.5242 b=3.5652 c=6.2337 alpha=90.00 beta=90.00 gamma=90.00
Fractional positions:
1 V 0.0000 0.0000 0.0000
2 V 0.0000 0.5000 0.4989
3 Sb 0.5000 0.0000 0.6656
4 Te 0.5000 0.5000 0.1663

Its space-group type is No. 25. As for the energy above the most stable polymorph in this dataset: 0.0 kJ/mol of formula units.

***

No. 4
The following is a GGA-PBE calculation of crystalline CaCdBr2 at its relaxed geometry, from Alexandria via LeMat-Bulk.

Unit cell a=7.3324 b=4.2320 c=10.7828 alpha=90.00 beta=102.70 gamma=90.00
Fractional positions:
1 Ca 0.0000 0.0000 0.0000
2 Ca 0.5000 0.5000 0.0000
3 Cd 0.1712 0.0000 0.5006
4 Cd 0.6712 0.5000 0.5006
5 Br 0.1178 0.5000 0.8489
6 Br 0.3820 0.0000 0.1510
7 Br 0.6178 0.0000 0.8489
8 Br 0.8820 0.5000 0.1510

Its space-group type is No. 8. As for the energy above the most stable polymorph in this dataset: 0.0 kJ/mol of formula units.

***

no.,DOS at the Fermi energy (states/eV per cell)
1,3.25
2,16.92
3,3.10
4,0.00